No. 1
{
  "formula": "TmTeAs",
  "functional": "PBE",
  "state": "relaxed",
  "lattice_angstrom": [[-3.201, 2.040, -1.393], [-2.374, -3.170, 0.812], [1.264, 3.827, 8.568]],
  "species": ["Tm", "Tm", "Te", "Te", "As", "As"],
  "frac_coords": [[0.374, 0.374, 0.748], [0.626, 0.626, 0.252], [0.188, 0.188, 0.375], [0.812, 0.812, 0.625], [0.000, 0.500, 0.000], [0.500, 0.000, 0.000]],
  "final_energy_ev_per_atom": -5.162,
  "density_g_cm3": 8.361,
  "space_group": "I4/mmm, No. 139",
  "m_tot_mub_per_fu": 0.0,
  "e_form_raw_mev_per_atom": -1074
}


No. 2
{
  "formula": "YTmTeAs",
  "functional": "PBE",
  "state": "relaxed",
  "lattice_angstrom": [[4.115, 0.000, 0.000], [-2.057, 3.565, 0.000], [-2.057, -1.188, 7.277]],
  "species": ["Y", "Tm", "Te", "As"],
  "frac_coords": [[0.112, 0.954, 0.082], [0.492, 0.144, 0.651], [0.970, 0.383, 0.368], [0.303, 0.550, 0.868]],
  "final_energy_ev_per_atom": -6.116,
  "density_g_cm3": 7.161,
  "space_group": "R3m, No. 160",
  "m_tot_mub_per_fu": 0.0,
  "e_form_raw_mev_per_atom": -1434
}


No. 3
{
  "formula": "Tm8ZnTe4As3",
  "functional": "PBE",
  "state": "relaxed",
  "lattice_angstrom": [[-1.460, 0.043, 8.195], [-3.883, -7.483, -0.653], [7.777, 0.843, -2.847]],
  "species": ["Tm", "Tm", "Tm", "Tm", "Tm", "Tm", "Tm", "Tm", "Zn", "Te", "Te", "Te", "Te", "As", "As", "As"],
  "frac_coords": [[0.238, 0.720, 0.982], [0.238, 0.720, 0.475], [0.261, 0.284, 0.522], [0.744, 0.720, 0.982], [0.256, 0.280, 0.018], [0.739, 0.716, 0.478], [0.762, 0.280, 0.525], [0.762, 0.280, 0.018], [0.000, 0.500, 0.000], [0.500, 0.000, 0.000], [0.500, 0.000, 0.500], [0.000, 0.000, 0.000], [0.000, 0.000, 0.500], [0.500, 0.500, 0.000], [0.500, 0.500, 0.500], [0.000, 0.500, 0.500]],
  "final_energy_ev_per_atom": -5.215,
  "density_g_cm3": 8.559,
  "space_group": "R-3m, No. 166",
  "m_tot_mub_per_fu": 0.0,
  "e_form_raw_mev_per_atom": -1243
}


No. 4
{
  "formula": "U2TeAs",
  "functional": "PBE",
  "state": "relaxed",
  "lattice_angstrom": [[-0.763, -4.590, -2.174], [-1.307, -4.031, 2.903], [-4.744, -1.946, -0.294]],
  "species": ["As", "Te", "U", "U"],
  "frac_coords": [[0.000, 0.000, 0.000], [0.500, 0.500, 0.500], [0.250, 0.250, 0.250], [0.750, 0.750, 0.750]],
  "final_energy_ev_per_atom": -8.059,
  "density_g_cm3": 11.762,
  "space_group": "Fm-3m, No. 225",
  "m_tot_mub_per_fu": 6.4,
  "e_form_raw_mev_per_atom": -467
}


No. 5
{
  "formula": "U2TeAs",
  "functional": "PBE",
  "state": "relaxed",
  "lattice_angstrom": [[-1.606, 0.725, 3.667], [-2.424, -2.764, 1.742], [4.552, -3.831, 5.008]],
  "species": ["As", "Te", "U", "U"],
  "frac_coords": [[0.000, 0.000, 0.000], [0.500, 0.500, 0.500], [0.742, 0.742, 0.774], [0.258, 0.258, 0.226]],
  "final_energy_ev_per_atom": -8.186,
  "density_g_cm3": 10.604,
  "space_group": "R-3m, No. 166",
  "m_tot_mub_per_fu": 5.6,
  "e_form_raw_mev_per_atom": -594
}


No. 6
{
  "formula": "UTeAs",
  "functional": "PBE",
  "state": "relaxed",
  "lattice_angstrom": [[4.135, 0.000, 0.000], [0.000, 4.135, 0.000], [0.000, 0.000, 8.840]],
  "species": ["U", "U", "Te", "Te", "As", "As"],
  "frac_coords": [[0.000, 0.500, 0.246], [0.500, 0.000, 0.754], [0.000, 0.500, 0.630], [0.500, 0.000, 0.370], [0.500, 0.500, 0.000], [0.000, 0.000, 0.000]],
  "final_energy_ev_per_atom": -7.013,
  "density_g_cm3": 9.681,
  "space_group": "P4/nmm, No. 129",
  "m_tot_mub_per_fu": 2.3,
  "e_form_raw_mev_per_atom": -653
}


No. 7
{
  "formula": "UTeAs",
  "functional": "PBE",
  "state": "relaxed",
  "lattice_angstrom": [[-4.705, -4.045, -6.687], [-5.918, -6.751, -1.615], [3.076, 7.249, 4.604]],
  "species": ["U", "U", "Te", "Te", "As", "As"],
  "frac_coords": [[0.119, 0.119, 0.000], [0.881, 0.881, 0.000], [0.314, 0.314, 0.000], [0.686, 0.686, 0.000], [0.000, 0.500, 0.500], [0.500, 0.000, 0.500]],
  "final_energy_ev_per_atom": -7.048,
  "density_g_cm3": 9.815,
  "space_group": "I4/mmm, No. 139",
  "m_tot_mub_per_fu": 2.2,
  "e_form_raw_mev_per_atom": -688
}


No. 8
{
  "formula": "UTeAs",
  "functional": "PBE",
  "state": "relaxed",
  "lattice_angstrom": [[3.791, 0.000, 0.000], [0.000, 3.791, 0.000], [-1.896, -1.896, 4.993]],
  "species": ["As", "Te", "U"],
  "frac_coords": [[0.307, 0.307, 0.614], [0.011, 0.011, 0.022], [0.682, 0.682, 0.364]],
  "final_energy_ev_per_atom": -6.864,
  "density_g_cm3": 10.195,
  "space_group": "I4mm, No. 107",
  "m_tot_mub_per_fu": 1.6,
  "e_form_raw_mev_per_atom": -504
}


No. 9
{
  "formula": "U2TeAs",
  "functional": "PBE",
  "state": "relaxed",
  "lattice_angstrom": [[3.956, 0.000, 0.000], [1.978, 3.426, 0.000], [1.978, 1.142, 7.811]],
  "species": ["U", "U", "Te", "As"],
  "frac_coords": [[0.074, 0.074, 0.777], [0.259, 0.259, 0.222], [0.499, 0.499, 0.503], [0.667, 0.667, 0.998]],
  "final_energy_ev_per_atom": -8.151,
  "density_g_cm3": 10.646,
  "space_group": "R3m, No. 160",
  "m_tot_mub_per_fu": 5.7,
  "e_form_raw_mev_per_atom": -559
}


No. 10
{
  "formula": "U4Te5As",
  "functional": "PBE",
  "state": "relaxed",
  "lattice_angstrom": [[-0.847, -0.466, 4.050], [-2.635, -8.142, -1.489], [9.389, -0.974, -0.289]],
  "species": ["U", "U", "U", "U", "Te", "Te", "Te", "Te", "Te", "As"],
  "frac_coords": [[0.337, 0.915, 0.674], [0.997, 0.761, 0.995], [0.663, 0.085, 0.326], [0.003, 0.239, 0.005], [0.830, 0.659, 0.660], [0.833, 0.178, 0.665], [0.167, 0.822, 0.335], [0.500, 0.500, 0.000], [0.170, 0.341, 0.340], [0.500, 0.000, 0.000]],
  "final_energy_ev_per_atom": -7.148,
  "density_g_cm3": 8.478,
  "space_group": "C2/m, No. 12",
  "m_tot_mub_per_fu": 10.5,
  "e_form_raw_mev_per_atom": -597
}


No. 11
{
  "formula": "UTeAs",
  "functional": "PBE",
  "state": "relaxed",
  "lattice_angstrom": [[-5.702, 1.606, 4.613], [-1.244, -5.837, 0.495], [4.128, -1.398, 5.590]],
  "species": ["U", "U", "U", "U", "Te", "Te", "Te", "Te", "As", "As", "As", "As"],
  "frac_coords": [[0.539, 0.134, 0.707], [0.039, 0.866, 0.793], [0.461, 0.866, 0.293], [0.961, 0.134, 0.207], [0.116, 0.620, 0.209], [0.384, 0.620, 0.709], [0.884, 0.380, 0.791], [0.616, 0.380, 0.291], [0.781, 0.872, 0.511], [0.719, 0.872, 0.011], [0.219, 0.128, 0.489], [0.281, 0.128, 0.989]],
  "final_energy_ev_per_atom": -6.900,
  "density_g_cm3": 9.268,
  "space_group": "P2_1/c, No. 14",
  "m_tot_mub_per_fu": 1.2,
  "e_form_raw_mev_per_atom": -540
}


No. 12
{
  "formula": "U2TeAs",
  "functional": "PBE",
  "state": "relaxed",
  "lattice_angstrom": [[3.633, 0.000, 0.000], [0.000, 3.633, 0.000], [0.000, 0.000, 7.274]],
  "species": ["As", "Te", "U", "U"],
  "frac_coords": [[0.500, 0.500, 0.000], [0.500, 0.500, 0.500], [0.000, 0.000, 0.774], [0.000, 0.000, 0.226]],
  "final_energy_ev_per_atom": -8.111,
  "density_g_cm3": 11.739,
  "space_group": "P4/mmm, No. 123",
  "m_tot_mub_per_fu": 6.6,
  "e_form_raw_mev_per_atom": -519
}


No. 13
{
  "formula": "UTeAs",
  "functional": "PBE",
  "state": "relaxed",
  "lattice_angstrom": [[3.899, 0.000, 0.000], [1.950, 7.214, -0.167], [1.950, 2.857, 6.430]],
  "species": ["As", "As", "U", "U", "Te", "Te"],
  "frac_coords": [[0.330, 0.784, 0.556], [0.670, 0.216, 0.444], [0.900, 0.941, 0.260], [0.100, 0.059, 0.740], [0.613, 0.737, 0.038], [0.387, 0.263, 0.962]],
  "final_energy_ev_per_atom": -6.695,
  "density_g_cm3": 8.007,
  "space_group": "C2/m, No. 12",
  "m_tot_mub_per_fu": 1.0,
  "e_form_raw_mev_per_atom": -336
}


No. 14
{
  "formula": "UTe2As",
  "functional": "PBE",
  "state": "relaxed",
  "lattice_angstrom": [[-5.492, 0.967, 0.084], [-3.315, -3.031, 3.307], [-2.431, 1.924, 4.030]],
  "species": ["As", "Te", "Te", "U"],
  "frac_coords": [[0.500, 0.500, 0.500], [0.268, 0.268, 0.196], [0.732, 0.732, 0.804], [0.000, 0.000, 0.000]],
  "final_energy_ev_per_atom": -5.616,
  "density_g_cm3": 8.900,
  "space_group": "R-3m, No. 166",
  "m_tot_mub_per_fu": 2.4,
  "e_form_raw_mev_per_atom": -61
}


No. 15
{
  "formula": "UTeAs",
  "functional": "PBE",
  "state": "relaxed",
  "lattice_angstrom": [[3.989, 0.000, 0.000], [0.000, 4.734, 0.000], [0.000, -2.367, 4.100]],
  "species": ["As", "Te", "U"],
  "frac_coords": [[0.167, 0.000, 0.000], [0.667, 0.667, 0.333], [0.167, 0.333, 0.667]],
  "final_energy_ev_per_atom": -6.612,
  "density_g_cm3": 9.449,
  "space_group": "P-6m2, No. 187",
  "m_tot_mub_per_fu": 1.3,
  "e_form_raw_mev_per_atom": -252
}


No. 16
{
  "formula": "V4Te5As",
  "functional": "PBE",
  "state": "relaxed",
  "lattice_angstrom": [[3.555, 0.000, 0.000], [0.000, 7.974, -0.280], [-1.777, -1.439, 8.184]],
  "species": ["V", "V", "V", "V", "Te", "Te", "Te", "Te", "Te", "As"],
  "frac_coords": [[0.355, 0.910, 0.711], [0.998, 0.765, 0.997], [0.645, 0.090, 0.289], [0.002, 0.235, 0.003], [0.832, 0.654, 0.665], [0.826, 0.148, 0.651], [0.174, 0.852, 0.349], [0.500, 0.500, 0.000], [0.168, 0.346, 0.335], [0.500, 0.000, 0.000]],
  "final_energy_ev_per_atom": -5.901,
  "density_g_cm3": 6.602,
  "space_group": "C2/m, No. 12",
  "m_tot_mub_per_fu": 3.1,
  "e_form_raw_mev_per_atom": -218
}


No. 17
{
  "formula": "VTe3As",
  "functional": "PBE",
  "state": "relaxed",
  "lattice_angstrom": [[-4.426, -3.058, 0.410], [-0.197, -0.434, -5.374], [3.079, -4.423, 0.244]],
  "species": ["As", "Te", "Te", "Te", "V"],
  "frac_coords": [[0.000, 0.000, 0.000], [0.000, 0.500, 0.000], [0.000, 0.000, 0.500], [0.500, 0.000, 0.000], [0.500, 0.500, 0.500]],
  "final_energy_ev_per_atom": -3.828,
  "density_g_cm3": 5.378,
  "space_group": "Pm-3m, No. 221",
  "m_tot_mub_per_fu": 2.9,
  "e_form_raw_mev_per_atom": 810
}


No. 18
{
  "formula": "V2TeAs2",
  "functional": "PBE",
  "state": "relaxed",
  "lattice_angstrom": [[3.797, 0.000, 0.000], [0.000, 3.797, 0.000], [1.898, 1.898, 6.401]],
  "species": ["As", "As", "Te", "V", "V"],
  "frac_coords": [[0.750, 0.250, 0.500], [0.250, 0.750, 0.500], [0.000, 0.000, 0.000], [0.387, 0.387, 0.227], [0.613, 0.613, 0.773]],
  "final_energy_ev_per_atom": -6.186,
  "density_g_cm3": 6.828,
  "space_group": "I4/mmm, No. 139",
  "m_tot_mub_per_fu": 2.8,
  "e_form_raw_mev_per_atom": -50
}


No. 19
{
  "formula": "VTe3As",
  "functional": "PBE",
  "state": "relaxed",
  "lattice_angstrom": [[5.163, 0.000, 0.000], [0.000, 5.163, 0.000], [0.000, 0.000, 5.163]],
  "species": ["As", "Te", "Te", "Te", "V"],
  "frac_coords": [[0.500, 0.500, 0.500], [0.000, 0.500, 0.000], [0.000, 0.000, 0.500], [0.500, 0.000, 0.000], [0.000, 0.000, 0.000]],
  "final_energy_ev_per_atom": -4.177,
  "density_g_cm3": 6.138,
  "space_group": "Pm-3m, No. 221",
  "m_tot_mub_per_fu": 1.1,
  "e_form_raw_mev_per_atom": 462
}


No. 20
{
  "formula": "V2ZnTeAs",
  "functional": "PBE",
  "state": "relaxed",
  "lattice_angstrom": [[-0.773, -0.650, 5.001], [3.798, -3.840, 0.088], [3.544, 3.530, 1.007]],
  "species": ["As", "Te", "Zn", "V", "V"],
  "frac_coords": [[0.000, 0.500, 0.000], [0.000, 0.000, 0.000], [0.500, 0.500, 0.500], [0.000, 0.000, 0.500], [0.500, 0.000, 0.000]],
  "final_energy_ev_per_atom": -4.252,
  "density_g_cm3": 4.367,
  "space_group": "P4/mmm, No. 123",
  "m_tot_mub_per_fu": 6.0,
  "e_form_raw_mev_per_atom": 1209
}